Below is MgTl2Sn after structural relaxation, with properties calculated at the GGA-PBE level. Values from VASP.

ΔH_f (0 K)	11	meV/atom
energy relative to the lowest polymorph listed for this composition	62	meV per atom
space-group type	No. 160
total magnetization	0.00	μB per cell
energy	-2.57	eV/atom
DOS at the Fermi energy	0.7	states/eV per cell

```
&SYSTEM
  ibrav = 0, nat = 4, ntyp = 3
/
ATOMIC_SPECIES
Mg 24.30 Mg.upf
Tl 204.38 Tl.upf
Sn 118.71 Sn.upf
CELL_PARAMETERS angstrom
-3.705 -1.653 3.457
-0.568 -5.202 1.014
1.576 -1.955 4.862
ATOMIC_POSITIONS crystal
Mg 0.751 0.751 0.747
Tl 0.250 0.250 0.251
Tl 0.002 0.002 0.993
Sn 0.497 0.497 0.509
```

Below is LiSi3Ni after structural relaxation, with properties calculated at the GGA-PBE level. Values from VASP.

energy relative to the lowest polymorph listed for this composition	0	meV per atom
space-group type	No. 12
total magnetization	0.00	μB per cell
energy	-4.94	eV/atom
formation energy without anion corrections	-0.15	eV/atom
DOS at the Fermi energy	2.0	states/eV per cell

```
&SYSTEM
  ibrav = 0, nat = 10, ntyp = 3
/
ATOMIC_SPECIES
Li 6.94 Li.upf
Ni 58.69 Ni.upf
Si 28.09 Si.upf
CELL_PARAMETERS angstrom
3.582 0.000 -0.870
-0.308 5.789 -1.267
-0.089 0.014 7.440
ATOMIC_POSITIONS crystal
Li 0.422 0.669 0.844
Li 0.578 0.331 0.156
Ni 0.798 0.784 0.596
Ni 0.202 0.216 0.404
Si 0.064 0.883 0.128
Si 0.791 0.393 0.582
Si 0.936 0.117 0.872
Si 0.672 0.960 0.344
Si 0.209 0.607 0.418
Si 0.328 0.040 0.656
```

Below is ReAuSe3 after structural relaxation, with properties calculated at the GGA-PBE level. Values from VASP.

energy relative to the lowest polymorph listed for this composition	0	meV per atom
space-group type	No. 221
total magnetization	0.00	μB per cell
energy	-4.56	eV/atom
formation energy without anion corrections	0.67	eV/atom
DOS at the Fermi energy	4.6	states/eV per cell

```
&SYSTEM
  ibrav = 0, nat = 5, ntyp = 3
/
ATOMIC_SPECIES
Se 78.96 Se.upf
Au 196.97 Au.upf
Re 186.21 Re.upf
CELL_PARAMETERS angstrom
4.884 0.000 0.000
0.000 4.884 0.000
0.000 0.000 4.884
ATOMIC_POSITIONS crystal
Se 0.500 0.000 0.000
Se 0.000 0.500 0.000
Se 0.000 0.000 0.500
Au 0.500 0.500 0.500
Re 0.000 0.000 0.000
```

Below is HoSc6Al after structural relaxation, with properties calculated at the GGA-PBE level. Values from VASP.

ΔH_f (0 K)	259	meV/atom
space-group type	No. 12
total magnetization	0.77	μB per cell
energy	-5.53	eV/atom
DOS at the Fermi energy	13.1	states/eV per cell

```
&SYSTEM
  ibrav = 0, nat = 8, ntyp = 3
/
ATOMIC_SPECIES
Sc 44.96 Sc.upf
Al 26.98 Al.upf
Ho 164.93 Ho.upf
CELL_PARAMETERS angstrom
-5.519 0.985 3.397
-0.582 -2.228 -6.137
3.210 -4.329 3.121
ATOMIC_POSITIONS crystal
Sc 0.734 0.734 0.273
Sc 0.501 0.955 0.744
Sc 0.499 0.045 0.256
Sc 0.266 0.266 0.727
Sc 0.955 0.501 0.744
Sc 0.045 0.499 0.256
Al 0.500 0.500 0.500
Ho 0.000 0.000 0.000
```

Below is Ce2PrF11 after structural relaxation, with properties calculated at the GGA-PBE level. Values from VASP.

space-group type	No. 72
total magnetization	0.03	μB per cell
energy	-6.49	eV/atom
formation energy without anion corrections	-3.83	eV/atom
DOS at the Fermi energy	0.0	states/eV per cell

```
&SYSTEM
  ibrav = 0, nat = 28, ntyp = 3
/
ATOMIC_SPECIES
F 19.00 F.upf
Ce 140.12 Ce.upf
Pr 140.91 Pr.upf
CELL_PARAMETERS angstrom
7.475 0.000 3.896
3.440 7.730 2.519
0.152 -0.089 8.826
ATOMIC_POSITIONS crystal
F 0.735 0.682 0.039
F 0.373 0.715 0.285
F 0.127 0.215 0.785
F 0.457 0.961 0.318
F 0.000 0.000 0.000
F 0.957 0.818 0.461
F 0.411 0.792 0.940
F 0.627 0.285 0.715
F 0.265 0.318 0.961
F 0.857 0.940 0.792
F 0.357 0.292 0.440
F 0.873 0.785 0.215
F 0.143 0.060 0.208
F 0.543 0.039 0.682
F 0.089 0.560 0.708
F 0.643 0.708 0.560
F 0.765 0.461 0.818
F 0.500 0.500 0.500
F 0.043 0.182 0.539
F 0.911 0.440 0.292
F 0.589 0.208 0.060
F 0.235 0.539 0.182
Ce 0.145 0.818 0.182
Ce 0.645 0.682 0.318
Ce 0.355 0.318 0.682
Ce 0.855 0.182 0.818
Pr 0.750 0.750 0.750
Pr 0.250 0.250 0.250
```

Below is Tm2ZrTl after structural relaxation, with properties calculated at the GGA-PBE level. Values from VASP.

ΔH_f (0 K)	-83	meV/atom
energy relative to the lowest polymorph listed for this composition	61	meV per atom
space-group type	No. 166
total magnetization	0.00	μB per cell
energy	-5.05	eV/atom
DOS at the Fermi energy	4.4	states/eV per cell

```
&SYSTEM
  ibrav = 0, nat = 4, ntyp = 3
/
ATOMIC_SPECIES
Zr 91.22 Zr.upf
Tm 168.93 Tm.upf
Tl 204.38 Tl.upf
CELL_PARAMETERS angstrom
-2.824 -1.830 0.715
-1.491 -1.892 -2.456
4.567 -9.458 2.102
ATOMIC_POSITIONS crystal
Zr 0.500 0.500 0.500
Tm 0.751 0.751 0.747
Tm 0.249 0.249 0.253
Tl 0.000 0.000 0.000
```

Below is CoNiGe2Cl after structural relaxation, with properties calculated at the GGA-PBE level. Values from VASP.

space-group type	No. 123
total magnetization	0.00	μB per cell
energy	-4.15	eV/atom
formation energy without anion corrections	0.64	eV/atom
DOS at the Fermi energy	4.7	states/eV per cell

```
&SYSTEM
  ibrav = 0, nat = 5, ntyp = 4
/
ATOMIC_SPECIES
Ge 72.64 Ge.upf
Co 58.93 Co.upf
Cl 35.45 Cl.upf
Ni 58.69 Ni.upf
CELL_PARAMETERS angstrom
4.451 0.000 0.000
0.000 4.737 0.000
0.000 0.000 4.451
ATOMIC_POSITIONS crystal
Ge 0.000 0.000 0.500
Ge 0.500 0.000 0.000
Co 0.000 0.000 0.000
Cl 0.000 0.500 0.000
Ni 0.500 0.500 0.500
```

Below is Li2SbTe after structural relaxation, with properties calculated at the GGA-PBE level. Values from VASP.

energy relative to the lowest polymorph listed for this composition	343	meV per atom
space-group type	No. 216
total magnetization	0.00	μB per cell
energy	-2.94	eV/atom
formation energy without anion corrections	-0.17	eV/atom
DOS at the Fermi energy	2.0	states/eV per cell

```
&SYSTEM
  ibrav = 0, nat = 4, ntyp = 3
/
ATOMIC_SPECIES
Te 127.60 Te.upf
Sb 121.76 Sb.upf
Li 6.94 Li.upf
CELL_PARAMETERS angstrom
-1.935 4.054 -2.576
-4.987 1.280 0.555
-1.297 4.312 2.556
ATOMIC_POSITIONS crystal
Te 0.250 0.250 0.250
Sb 0.500 0.500 0.500
Li 0.750 0.750 0.750
Li 0.000 0.000 0.000
```

Below is FeHgRh2 after structural relaxation, with properties calculated at the GGA-PBE level. Values from VASP.

ΔH_f (0 K)	19	meV/atom
space-group type	No. 123
total magnetization	4.44	μB per cell
energy	-5.85	eV/atom
DOS at the Fermi energy	2.3	states/eV per cell

```
&SYSTEM
  ibrav = 0, nat = 4, ntyp = 3
/
ATOMIC_SPECIES
Hg 200.59 Hg.upf
Rh 102.91 Rh.upf
Fe 55.84 Fe.upf
CELL_PARAMETERS angstrom
-0.432 -2.994 -0.387
1.224 0.184 -2.787
6.045 -1.204 2.575
ATOMIC_POSITIONS crystal
Hg 0.500 0.500 0.750
Rh 0.000 0.000 0.037
Rh 0.000 0.000 0.463
Fe 0.500 0.500 0.250
```

Below is Ba8Ga6N after structural relaxation, with properties calculated at the GGA-PBE level. Values from VASP.

space-group type	No. 148
total magnetization	0.00	μB per cell
energy	-3.04	eV/atom
formation energy without anion corrections	-0.25	eV/atom
DOS at the Fermi energy	17.1	states/eV per cell

```
&SYSTEM
  ibrav = 0, nat = 15, ntyp = 3
/
ATOMIC_SPECIES
Ga 69.72 Ga.upf
Ba 137.33 Ba.upf
N 14.01 N.upf
CELL_PARAMETERS angstrom
-2.124 4.995 -6.571
-8.329 1.399 1.146
-0.278 7.804 3.413
ATOMIC_POSITIONS crystal
Ga 0.513 0.355 0.970
Ga 0.487 0.645 0.030
Ga 0.355 0.970 0.513
Ga 0.970 0.513 0.355
Ga 0.645 0.030 0.487
Ga 0.030 0.487 0.645
Ba 0.693 0.906 0.129
Ba 0.625 0.625 0.625
Ba 0.094 0.871 0.307
Ba 0.129 0.693 0.906
Ba 0.307 0.094 0.871
Ba 0.871 0.307 0.094
Ba 0.906 0.129 0.693
Ba 0.375 0.375 0.375
N 0.000 0.000 0.000
```

Below is MgCCl2 after structural relaxation, with properties calculated at the GGA-PBE level. Values from VASP.

energy relative to the lowest polymorph listed for this composition	574	meV per atom
space-group type	No. 166
total magnetization	0.00	μB per cell
energy	-2.54	eV/atom
formation energy without anion corrections	1.08	eV/atom
DOS at the Fermi energy	1.7	states/eV per cell

```
&SYSTEM
  ibrav = 0, nat = 4, ntyp = 3
/
ATOMIC_SPECIES
C 12.01 C.upf
Mg 24.30 Mg.upf
Cl 35.45 Cl.upf
CELL_PARAMETERS angstrom
-0.654 8.026 1.914
-1.307 6.551 4.887
1.893 7.044 3.911
ATOMIC_POSITIONS crystal
C 0.500 0.500 0.500
Mg 0.000 0.000 0.000
Cl 0.110 0.110 0.110
Cl 0.890 0.890 0.890
```

Below is AlCdInAg after structural relaxation, with properties calculated at the GGA-PBE level. Values from VASP.

ΔH_f (0 K)	141	meV/atom
space-group type	No. 216
total magnetization	0.00	μB per cell
energy	-2.42	eV/atom
DOS at the Fermi energy	0.8	states/eV per cell

```
&SYSTEM
  ibrav = 0, nat = 4, ntyp = 4
/
ATOMIC_SPECIES
Cd 112.41 Cd.upf
Al 26.98 Al.upf
In 114.82 In.upf
Ag 107.87 Ag.upf
CELL_PARAMETERS angstrom
4.944 0.000 0.000
2.472 4.282 0.000
2.472 1.427 4.037
ATOMIC_POSITIONS crystal
Cd 0.000 0.000 0.000
Al 0.750 0.750 0.750
In 0.500 0.500 0.500
Ag 0.250 0.250 0.250
```